No. 1
Entry from Alexandria via LeMat-Bulk: Sm2DyTm4Mg after structural relaxation (PBE-GGA).

Cell and atoms, written as POSCAR:
```
Sm2DyTm4Mg
1.0
11.028 0.000 0.000
0.000 4.998 0.000
-4.352 0.000 8.808
Sm Dy Tm Mg
4 2 8 2
direct
0.003 0.000 0.251
0.497 0.500 0.749
0.503 0.500 0.251
0.997 0.000 0.749
0.000 0.500 0.500
0.500 0.000 0.500
0.245 0.500 0.876
0.250 0.000 0.628
0.250 0.500 0.372
0.255 0.000 0.124
0.745 0.000 0.876
0.750 0.000 0.372
0.750 0.500 0.628
0.755 0.500 0.124
0.000 0.500 0.000
0.500 0.000 0.000
```

---

No. 2
Entry from Alexandria via LeMat-Bulk: Pr2SmTm after structural relaxation (PBE-GGA).

Cell and atoms, written as POSCAR:
```
Pr2SmTm
1.0
5.157 0.000 0.000
0.000 5.157 0.000
0.000 0.000 5.100
Pr Sm Tm
2 1 1
direct
0.000 0.500 0.000
0.500 0.000 0.000
0.000 0.000 0.500
0.500 0.500 0.500
```

---

No. 3
Entry from Alexandria via LeMat-Bulk: Ac2Zn3InRh4 after structural relaxation (PBE-GGA).

Cell and atoms, written as POSCAR:
```
Ac2Zn3InRh4
1.0
4.415 0.000 0.000
0.000 4.415 0.000
0.000 0.000 10.597
Ac Zn In Rh
2 3 1 4
direct
0.000 0.500 0.227
0.500 0.000 0.773
0.000 0.500 0.881
0.500 0.000 0.119
0.500 0.500 0.500
0.000 0.000 0.500
0.000 0.000 0.000
0.000 0.500 0.641
0.500 0.000 0.359
0.500 0.500 0.000
```

---

No. 4
Entry from Alexandria via LeMat-Bulk: NaHfAl after structural relaxation (PBE-GGA).

Cell and atoms, written as POSCAR:
```
NaHfAl
1.0
3.147 0.000 0.000
0.000 4.132 0.000
0.000 0.000 11.388
Na Hf Al
2 2 2
direct
0.250 0.250 0.127
0.750 0.750 0.873
0.250 0.250 0.424
0.750 0.750 0.576
0.250 0.250 0.689
0.750 0.750 0.311
```

---

No. 5
Entry from Alexandria via LeMat-Bulk: LiErGe2Pd4 after structural relaxation (PBE-GGA).

Cell and atoms, written as POSCAR:
```
LiErGe2Pd4
1.0
2.179 1.258 7.920
-2.179 1.258 7.920
0.000 -2.516 7.920
Li Er Ge Pd
1 1 2 4
direct
0.000 0.000 0.000
0.500 0.500 0.500
0.257 0.257 0.257
0.743 0.743 0.743
0.103 0.103 0.103
0.370 0.370 0.370
0.630 0.630 0.630
0.897 0.897 0.897
```

---

No. 6
Entry from Alexandria via LeMat-Bulk: NaZnTcSn2 after structural relaxation (PBE-GGA).

Cell and atoms, written as POSCAR:
```
NaZnTcSn2
1.0
5.137 0.000 0.000
0.000 5.137 0.000
0.000 0.000 5.054
Na Zn Tc Sn
1 1 1 2
direct
0.000 0.000 0.000
0.500 0.500 0.000
0.500 0.500 0.500
0.000 0.500 0.500
0.500 0.000 0.500
```

---

Uncorrected energy readings, ordered: -4.159 -4.671 -4.953 -5.026 -5.245 -4.107 eV/atom